A plane-wave DFT calculation with PBE was carried out for a relaxed structure of AcLa4TbPm2.

Summary:
- VASP energy: -37.7 eV for the cell shown
- SG: C2/m
- Calculated volume: 293 Å³ per cell
- Formation energy from the elements: 0.03 eV per atom

Cell lengths 6.4415, 6.4415, 10.6040 Å; angles 114.30, 114.30, 48.31 degrees
Fractional coordinates of all 8 atoms:
Ac 0.0000 0.0000 0.0000
La 0.2466 0.2466 0.8694
La 0.2515 0.2515 0.3782
La 0.7485 0.7485 0.6218
La 0.7534 0.7534 0.1306
Tb 0.0000 0.0000 0.5000
Pm 0.4988 0.4988 0.2558
Pm 0.5012 0.5012 0.7442